The following is a PBE-GGA calculation of crystalline Be2FeMo at its relaxed geometry, from Alexandria via LeMat-Bulk.

Unit cell a=3.634 b=3.637 c=3.369 alpha=90.00 beta=90.00 gamma=90.00
Positions (direct):
1 Be 0.000 0.000 0.000
2 Be 0.500 0.500 0.000
3 Mo 0.000 0.500 0.500
4 Fe 0.500 0.000 0.500

Results
E above lowest polymorph   0.126 eV/atom
Space-group type   No. 123
Calculated volume   44.5 Å³/cell
Calculated formation energy   10 kJ/mol of formula units
Uncorrected energy   -26.6 eV/cell


The following is a PBE-GGA calculation of crystalline BeFeMo2 at its relaxed geometry, from Alexandria via LeMat-Bulk.

Unit cell a=2.730 b=2.739 c=6.722 alpha=90.00 beta=90.00 gamma=90.00
Positions (direct):
1 Be 0.000 0.000 0.543
2 Mo 0.000 0.000 0.950
3 Mo 0.500 0.500 0.291
4 Fe 0.500 0.500 0.715

Results
Space-group type   No. 99
Calculated volume   50.3 Å³/cell
Calculated formation energy   12 kJ/mol of formula units
Uncorrected energy   -33.7 eV/cell


The following is a PBE-GGA calculation of crystalline BeFeMo2 at its relaxed geometry, from Alexandria via LeMat-Bulk.

Unit cell a=4.480 b=4.480 c=4.487 alpha=129.61 beta=129.62 gamma=73.94
Positions (direct):
1 Be 0.250 0.750 0.500
2 Mo 0.000 0.000 0.000
3 Mo 0.500 0.500 0.000
4 Fe 0.750 0.250 0.500

Results
Space-group type   No. 69
Calculated volume   52.1 Å³/cell
Calculated formation energy   51 kJ/mol of formula units
Uncorrected energy   -33.3 eV/cell


The following is a PBE-GGA calculation of crystalline BeFeMo2 at its relaxed geometry, from Alexandria via LeMat-Bulk.

Unit cell a=2.689 b=2.689 c=7.020 alpha=90.00 beta=90.00 gamma=90.00
Positions (direct):
1 Be 0.500 0.500 0.250
2 Mo 0.000 0.000 0.007
3 Mo 0.000 0.000 0.493
4 Fe 0.500 0.500 0.750

Results
Space-group type   No. 123
Calculated volume   50.7 Å³/cell
Calculated formation energy   41 kJ/mol of formula units
Uncorrected energy   -33.4 eV/cell